[1]
{
  "formula": "GaNiSe2",
  "functional": "PBE",
  "state": "optimized geometry",
  "e_form_raw_ev_per_atom": -0.127,
  "space_group": "R-3m (166)",
  "cell": [[2.034, 0.000, 8.088], [-1.017, 1.761, 8.088], [-1.017, -1.761, 8.088]],
  "species": ["Se", "Ni", "Ga", "Se"],
  "frac_coords": [[0.886, 0.886, 0.886], [0.500, 0.500, 0.500], [0.000, 0.000, 0.000], [0.114, 0.114, 0.114]]
}


[2]
{
  "formula": "Ga2NiSe",
  "functional": "PBE",
  "state": "optimized geometry",
  "e_form_raw_ev_per_atom": -0.032,
  "space_group": "I-42d (122)",
  "cell": [[6.049, 0.000, 0.000], [0.000, 6.049, 0.000], [3.024, 3.024, 4.841]],
  "species": ["Se", "Se", "Ga", "Ni", "Ni", "Ga", "Ga", "Ga"],
  "frac_coords": [[0.750, 0.250, 0.500], [0.000, 0.000, 0.000], [0.158, 0.625, 0.250], [0.500, 0.500, 0.000], [0.250, 0.750, 0.500], [0.592, 0.125, 0.250], [0.875, 0.842, 0.750], [0.375, 0.408, 0.750]]
}